w.
Below is crystalline Ce2Cd3Hg at its relaxed geometry, with properties calculated at the GGA-PBE level.

Computed properties:
size of the total moment = 2.68 μB/f.u.

Cell: 3.3067 5.1194 8.8558 Å, 90.00 90.00 90.00°
Sites, in units of the cell vectors:
Ce 0.0000 0.0000 0.0000
Ce 0.0000 0.5000 0.4910
Cd 0.5000 0.0000 0.6655
Cd 0.5000 0.5000 0.1589
Cd 0.5000 0.5000 0.8269
Hg 0.5000 0.0000 0.3308

=====

x.
Below is crystalline Ce2Cd3Hg at its relaxed geometry, with properties calculated at the GGA-PBE level.

Computed properties:
size of the total moment = 2.44 μB/f.u.

Cell: 10.2553 9.4619 6.0853 Å, 79.30 65.04 35.67°
Sites, in units of the cell vectors:
Ce 0.2195 0.7805 0.7805
Ce 0.2500 0.2500 0.2500
Ce 0.7500 0.7500 0.7500
Ce 0.7805 0.2195 0.2195
Cd 0.1734 0.6612 0.3388
Cd 0.3358 0.3358 0.6642
Cd 0.3388 0.8266 0.1734
Cd 0.6612 0.1734 0.8266
Cd 0.6642 0.6642 0.3358
Cd 0.8266 0.3388 0.6612
Hg 0.1683 0.1683 0.8317
Hg 0.8317 0.8317 0.1683

=====

Going by the computed energies, the most stable comes first: x, w.

=====

w.
Below is crystalline Ce2Cd2Hg3 at its relaxed geometry, with properties calculated at the GGA-PBE level.

Computed properties:
size of the total moment = 2.70 μB/f.u.

Cell: 11.5489 11.5489 3.2494 Å, 90.00 90.00 155.50°
Sites, in units of the cell vectors:
Ce 0.1480 0.8520 0.0000
Ce 0.8520 0.1480 0.0000
Cd 0.2826 0.7174 0.5000
Cd 0.7174 0.2826 0.5000
Hg 0.0000 0.0000 0.0000
Hg 0.4256 0.5744 0.5000
Hg 0.5744 0.4256 0.5000

=====

x.
Below is crystalline Ce2Cd2Hg3 at its relaxed geometry, with properties calculated at the GGA-PBE level.

Computed properties:
size of the total moment = 2.18 μB/f.u.

Cell: 11.4272 11.4272 8.3906 Å, 90.00 90.00 160.02°
Sites, in units of the cell vectors:
Ce 0.0545 0.9455 0.7500
Ce 0.1470 0.8530 0.2500
Ce 0.8530 0.1470 0.7500
Ce 0.9455 0.0545 0.2500
Cd 0.3230 0.6770 0.0652
Cd 0.3230 0.6770 0.4348
Cd 0.6770 0.3230 0.5652
Cd 0.6770 0.3230 0.9348
Hg 0.2444 0.7556 0.7500
Hg 0.4437 0.5563 0.5735
Hg 0.4437 0.5563 0.9265
Hg 0.5563 0.4437 0.0735
Hg 0.5563 0.4437 0.4265
Hg 0.7556 0.2444 0.2500

=====

Going by the computed energies, the most stable comes first: x, w.

=====

w.
Below is crystalline Ce4CdHg at its relaxed geometry, with properties calculated at the GGA-PBE level.

Computed properties:
size of the total moment = 2.08 μB/f.u.

Cell: 6.1560 6.1560 6.1560 Å, 130.61 121.56 79.96°
Sites, in units of the cell vectors:
Ce 0.0717 0.8232 0.2486
Ce 0.4254 0.1768 0.2486
Ce 0.5746 0.8232 0.7514
Ce 0.9283 0.1768 0.7514
Cd 0.5000 0.5000 0.0000
Hg 0.0000 0.5000 0.5000

=====

x.
Below is crystalline Ce4CdHg at its relaxed geometry, with properties calculated at the GGA-PBE level.

Computed properties:
size of the total moment = 0.43 μB/f.u.

Cell: 5.7268 6.5730 8.4602 Å, 90.00 98.92 90.00°
Sites, in units of the cell vectors:
Ce 0.0277 0.2500 0.0286
Ce 0.1279 0.5009 0.6559
Ce 0.1279 0.9991 0.6559
Ce 0.2284 0.7500 0.2688
Ce 0.7716 0.2500 0.7312
Ce 0.8721 0.0009 0.3441
Ce 0.8721 0.4991 0.3441
Ce 0.9723 0.7500 0.9714
Cd 0.3865 0.2500 0.3821
Cd 0.6135 0.7500 0.6179
Hg 0.5000 0.0000 0.0000
Hg 0.5000 0.5000 0.0000

=====

Going by the computed energies, the most stable comes first: w, x.

=====

w.
Below is crystalline LaCeCdHg at its relaxed geometry, with properties calculated at the GGA-PBE level.

Computed properties:
size of the total moment = 1.89 μB/f.u.

Cell: 5.4874 5.4874 5.4874 Å, 60.00 60.00 60.00°
Sites, in units of the cell vectors:
La 0.0000 0.0000 0.0000
Ce 0.5000 0.5000 0.5000
Cd 0.2500 0.2500 0.2500
Hg 0.7500 0.7500 0.7500

=====

x.
Below is crystalline LaCeCdHg at its relaxed geometry, with properties calculated at the GGA-PBE level.

Computed properties:
size of the total moment = 1.70 μB/f.u.

Cell: 3.8734 3.8734 7.7806 Å, 90.00 90.00 90.00°
Sites, in units of the cell vectors:
La 0.0000 0.0000 0.0000
Ce 0.0000 0.0000 0.5051
Cd 0.5000 0.5000 0.2603
Hg 0.5000 0.5000 0.7432

=====

Going by the computed energies, the most stable comes first: x, w.

=====

w.
Below is crystalline CePuCdHg at its relaxed geometry, with properties calculated at the GGA-PBE level.

Computed properties:
size of the total moment = 7.22 μB/f.u.

Cell: 5.3699 5.3699 5.3699 Å, 60.00 60.00 60.00°
Sites, in units of the cell vectors:
Ce 0.0000 0.0000 0.0000
Pu 0.5000 0.5000 0.5000
Cd 0.7500 0.7500 0.7500
Hg 0.2500 0.2500 0.2500

=====

x.
Below is crystalline CePuCdHg at its relaxed geometry, with properties calculated at the GGA-PBE level.

Computed properties:
size of the total moment = 6.90 μB/f.u.

Cell: 4.5405 4.5428 4.8862 Å, 90.00 90.00 90.00°
Sites, in units of the cell vectors:
Ce 0.0000 0.0000 0.0000
Pu 0.5000 0.5000 0.0000
Cd 0.5000 0.0000 0.5000
Hg 0.0000 0.5000 0.5000

=====

Going by the computed energies, the most stable comes first: x, w.

=====

w.
Below is crystalline CeCdSnHg at its relaxed geometry, with properties calculated at the GGA-PBE level.

Computed properties:
size of the total moment = 0.88 μB/f.u.

Cell: 4.4750 4.6464 4.9549 Å, 90.00 90.00 90.00°
Sites, in units of the cell vectors:
Ce 0.0000 0.0000 0.0000
Cd 0.0000 0.5000 0.5000
Sn 0.5000 0.5000 0.0000
Hg 0.5000 0.0000 0.5000

=====

x.
Below is crystalline CeCdSnHg at its relaxed geometry, with properties calculated at the GGA-PBE level.

Computed properties:
size of the total moment = 0.92 μB/f.u.

Cell: 5.2600 5.2600 5.2600 Å, 60.00 60.00 60.00°
Sites, in units of the cell vectors:
Ce 0.0000 0.0000 0.0000
Cd 0.5000 0.5000 0.5000
Sn 0.7500 0.7500 0.7500
Hg 0.2500 0.2500 0.2500

=====

Going by the computed energies, the most stable comes first: w, x.

=====

w.
Below is crystalline CeHoCd2 at its relaxed geometry, with properties calculated at the GGA-PBE level.

Computed properties:
size of the total moment = 0.93 μB/f.u.

Cell: 10.7632 10.7632 10.7632 Å, 18.37 18.37 18.37°
Sites, in units of the cell vectors:
Ce 0.0000 0.0000 0.0000
Ho 0.5000 0.5000 0.5000
Cd 0.2473 0.2473 0.2473
Cd 0.7527 0.7527 0.7527

=====

x.
Below is crystalline CeHoCd2 at its relaxed geometry, with properties calculated at the GGA-PBE level.

Computed properties:
size of the total moment = 0.92 μB/f.u.

Cell: 3.4177 3.4177 8.9464 Å, 90.00 90.00 90.00°
Sites, in units of the cell vectors:
Ce 0.0000 0.0000 0.0000
Ho 0.0000 0.0000 0.5000
Cd 0.5000 0.5000 0.2607
Cd 0.5000 0.5000 0.7393

=====

y.
Below is crystalline CeHoCd2 at its relaxed geometry, with properties calculated at the GGA-PBE level.

Computed properties:
size of the total moment = 1.77 μB/f.u.

Cell: 5.3502 5.3502 5.3502 Å, 60.00 60.00 60.00°
Sites, in units of the cell vectors:
Ce 0.0000 0.0000 0.0000
Ho 0.5000 0.5000 0.5000
Cd 0.2500 0.2500 0.2500
Cd 0.7500 0.7500 0.7500

=====

z.
Below is crystalline CeHoCd2 at its relaxed geometry, with properties calculated at the GGA-PBE level.

Computed properties:
size of the total moment = 1.25 μB/f.u.

Cell: 4.7963 4.7963 4.5815 Å, 90.00 90.00 90.00°
Sites, in units of the cell vectors:
Ce 0.0000 0.0000 0.0000
Ho 0.5000 0.5000 0.0000
Cd 0.0000 0.5000 0.5000
Cd 0.5000 0.0000 0.5000

=====

Going by the computed energies, the most stable comes first: x, y, z, w.

=====

w.
Below is crystalline CeCdIn3 at its relaxed geometry, with properties calculated at the GGA-PBE level.

Computed properties:
size of the total moment = 1.27 μB/f.u.

Cell: 5.5725 5.5772 6.1534 Å, 66.92 67.18 80.92°
Sites, in units of the cell vectors:
Ce 0.0000 0.0000 0.0000
Cd 0.5000 0.5000 0.5000
In 0.0000 0.5000 0.5000
In 0.5000 0.0000 0.5000
In 0.5000 0.5000 0.0000

=====

x.
Below is crystalline CeCdIn3 at its relaxed geometry, with properties calculated at the GGA-PBE level.

Computed properties:
size of the total moment = 1.22 μB/f.u.

Cell: 7.1844 7.1844 6.1808 Å, 90.00 90.00 120.00°
Sites, in units of the cell vectors:
Ce 0.3333 0.6667 0.2500
Ce 0.6667 0.3333 0.7500
Cd 0.0000 0.0000 0.0000
Cd 0.0000 0.0000 0.5000
In 0.1975 0.3951 0.7500
In 0.1975 0.8025 0.7500
In 0.3951 0.1975 0.2500
In 0.6049 0.8025 0.7500
In 0.8025 0.1975 0.2500
In 0.8025 0.6049 0.2500

=====

Going by the computed energies, the most stable comes first: x, w.

=====

w.
Below is crystalline Ce2Cd5In at its relaxed geometry, with properties calculated at the GGA-PBE level.

Computed properties:
size of the total moment = 2.18 μB/f.u.

Cell: 6.6667 6.6667 6.6667 Å, 120.80 120.80 88.63°
Sites, in units of the cell vectors:
Ce 0.0000 0.5000 0.5000
Ce 0.5000 0.0000 0.5000
Cd 0.9995 0.9995 0.4990
Cd 0.9995 0.5005 0.0000
Cd 0.0011 0.0011 0.0000
Cd 0.5005 0.9995 0.0000
Cd 0.5005 0.5005 0.5010
In 0.4992 0.4992 0.0000

=====

x.
Below is crystalline Ce2Cd5In at its relaxed geometry, with properties calculated at the GGA-PBE level.

Computed properties:
size of the total moment = 1.91 μB/f.u.

Cell: 9.1634 9.1634 9.9311 Å, 90.00 90.00 149.98°
Sites, in units of the cell vectors:
Ce 0.0000 0.0000 0.0000
Ce 0.0000 0.0000 0.5000
Ce 0.1977 0.8023 0.7500
Ce 0.8023 0.1977 0.2500
Cd 0.1914 0.8086 0.1052
Cd 0.1914 0.8086 0.3948
Cd 0.3531 0.6469 0.0293
Cd 0.3531 0.6469 0.4707
Cd 0.3929 0.6071 0.7500
Cd 0.6071 0.3929 0.2500
Cd 0.6469 0.3531 0.5293
Cd 0.6469 0.3531 0.9707
Cd 0.8086 0.1914 0.6052
Cd 0.8086 0.1914 0.8948
In 0.4508 0.5492 0.2500
In 0.5492 0.4508 0.7500

=====

Going by the computed energies, the most stable comes first: x, w.

=====

w.
Below is crystalline CeCd4In at its relaxed geometry, with properties calculated at the GGA-PBE level.

Computed properties:
size of the total moment = 1.06 μB/f.u.

Cell: 5.9826 5.9826 5.9826 Å, 60.00 60.00 60.00°
Sites, in units of the cell vectors:
Ce 0.0000 0.0000 0.0000
Cd 0.3747 0.3747 0.3747
Cd 0.3747 0.3747 0.8760
Cd 0.3747 0.8760 0.3747
Cd 0.8760 0.3747 0.3747
In 0.7500 0.7500 0.7500

=====

x.
Below is crystalline CeCd4In at its relaxed geometry, with properties calculated at the GGA-PBE level.

Computed properties:
size of the total moment = 1.06 μB/f.u.

Cell: 5.0311 5.0556 6.7556 Å, 93.23 90.51 119.76°
Sites, in units of the cell vectors:
Ce 0.0000 0.0000 0.0000
Cd 0.3191 0.6440 0.7518
Cd 0.3482 0.6917 0.2474
Cd 0.6518 0.3083 0.7526
Cd 0.6809 0.3560 0.2482
In 0.0000 0.0000 0.5000

=====

Going by the computed energies, the most stable comes first: x, w.

=====

w.
Below is crystalline Ce6CdIn2 at its relaxed geometry, with properties calculated at the GGA-PBE level.

Computed properties:
size of the total moment = 3.57 μB/f.u.

Cell: 9.1983 9.1983 3.0541 Å, 90.00 90.00 120.00°
Sites, in units of the cell vectors:
Ce 0.0000 0.3316 0.0000
Ce 0.0000 0.6684 0.0000
Ce 0.3316 0.0000 0.0000
Ce 0.3316 0.3316 0.0000
Ce 0.6684 0.0000 0.0000
Ce 0.6684 0.6684 0.0000
Cd 0.0000 0.0000 0.5000
In 0.3333 0.6667 0.5000
In 0.6667 0.3333 0.5000

=====

x.
Below is crystalline Ce6CdIn2 at its relaxed geometry, with properties calculated at the GGA-PBE level.

Computed properties:
size of the total moment = 1.79 μB/f.u.

Cell: 8.9522 8.9522 4.0447 Å, 95.92 95.92 131.47°
Sites, in units of the cell vectors:
Ce 0.0358 0.6826 0.1733
Ce 0.1279 0.1279 0.3144
Ce 0.3174 0.9642 0.8267
Ce 0.6826 0.0358 0.1733
Ce 0.8721 0.8721 0.6856
Ce 0.9642 0.3174 0.8267
Cd 0.5000 0.5000 0.0000
In 0.3599 0.6401 0.5000
In 0.6401 0.3599 0.5000

=====

Going by the computed energies, the most stable comes first: w, x.

=====

w.
Below is crystalline CeCd4In2 at its relaxed geometry, with properties calculated at the GGA-PBE level.

Computed properties:
size of the total moment = 1.24 μB/f.u.

Cell: 8.7475 8.7475 4.5333 Å, 90.00 90.00 149.68°
Sites, in units of the cell vectors:
Ce 0.0000 0.0000 0.0000
Cd 0.1849 0.8151 0.5000
Cd 0.3103 0.6897 0.0000
Cd 0.6897 0.3103 0.0000
Cd 0.8151 0.1849 0.5000
In 0.4185 0.5815 0.5000
In 0.5815 0.4185 0.5000

=====

x.
Below is crystalline CeCd4In2 at its relaxed geometry, with properties calculated at the GGA-PBE level.

Computed properties:
size of the total moment = 0.95 μB/f.u.

Cell: 4.9069 4.9069 7.5255 Å, 90.00 90.00 90.00°
Sites, in units of the cell vectors:
Ce 0.0000 0.0000 0.0000
Cd 0.0000 0.5000 0.2825
Cd 0.0000 0.5000 0.7175
Cd 0.5000 0.0000 0.2825
Cd 0.5000 0.0000 0.7175
In 0.0000 0.0000 0.5000
In 0.5000 0.5000 0.0000

=====

Going by the computed energies, the most stable comes first: x, w.